5
Lattice="5.330 0.000 0.000 0.000 5.330 0.000 0.000 0.000 4.702" Properties=species:S:1:pos:R:3 comment="GaCoSbTe2 | Alexandria | GGA-PBE | optimized geometry" energy_ev_per_atom=-3.80 magnetic_moment_mub_per_atom=0.000 e_form_raw_ev_per_atom=0.305 pbc="T T T"
Ga 0.000 0.000 0.000
Co 2.665 2.665 2.351
Sb 2.665 2.665 0.000
Te 0.000 2.665 2.351
Te 2.665 0.000 2.351

6
Lattice="4.761 0.000 0.000 -2.381 4.123 0.000 0.000 0.000 7.694" Properties=species:S:1:pos:R:3 comment="PrZnIn | Alexandria | GGA-PBE | optimized geometry" energy_ev_per_atom=-3.38 magnetic_moment_mub_per_atom=0.000 formation_energy_ev_per_fu=-1.3 pbc="T T T"
Pr 0.000 0.000 0.000
Pr 0.000 0.000 3.847
Zn 0.000 2.749 1.923
Zn 2.381 1.374 5.770
In 0.000 2.749 5.770
In 2.381 1.374 1.923

5
Lattice="5.091 0.000 0.000 0.000 5.091 0.000 0.000 0.000 5.091" Properties=species:S:1:pos:R:3 comment="AgI3N | Alexandria | GGA-PBE | optimized geometry" energy_ev_per_atom=-2.23 magnetic_moment_mub_per_atom=0.000 e_form_raw_ev_per_atom=0.933 pbc="T T T"
Ag 0.000 0.000 0.000
I 0.000 2.545 2.545
I 2.545 0.000 2.545
I 2.545 2.545 0.000
N 2.545 2.545 2.545